Density functional theory data (PBE) for an optimized crystal structure of MgMnTeSe.

Values from the calculation:
* calculated density: 5163 kg/m3
* energy relative to the elements, uncorrected: -0.57 eV per atom

Cell: 5.6395 5.6529 5.7669 Å, 90.00 90.00 90.00°
Space group Cmmm (No. 65)
Inequivalent atoms, fractional coordinates:
1 Mg 0.0000 0.0000 0.0000
2 Mn 0.0000 0.5000 0.5000
3 Te 0.0000 0.0000 0.5000
4 Se 0.0000 0.5000 0.0000



Density functional theory data (PBE) for an optimized crystal structure of MgMnTlSe3.

Values from the calculation:
* calculated density: 5354 kg/m3
* energy relative to the elements, uncorrected: -0.64 eV per atom

Cell: 8.4615 3.8423 10.3947 Å, 90.00 107.17 90.00°
Space group P2_1/m (No. 11)
Inequivalent atoms, fractional coordinates:
1 Mg 0.1103 0.2500 0.1161
2 Mn 0.3398 0.7500 0.3931
3 Tl 0.2204 0.2500 0.7528
4 Se 0.1344 0.2500 0.3720
5 Se 0.2159 0.7500 0.0024
6 Se 0.4828 0.7500 0.6493



Density functional theory data (PBE) for an optimized crystal structure of YMgMn2Se.

Values from the calculation:
* calculated density: 4276 kg/m3
* energy relative to the elements, uncorrected: 0.13 eV per atom

Cell: 4.6971 4.6971 5.3164 Å, 90.00 90.00 90.00°
Space group P4/mmm (No. 123)
Inequivalent atoms, fractional coordinates:
1 Y 0.0000 0.0000 0.0000
2 Mg 0.5000 0.5000 0.0000
3 Mn 0.0000 0.5000 0.5000
4 Se 0.0000 0.0000 0.5000



Density functional theory data (PBE) for an optimized crystal structure of YMgMnSe2.

Values from the calculation:
* calculated density: 3301 kg/m3
* energy relative to the elements, uncorrected: 0.12 eV per atom

Cell: 5.4233 5.4233 5.5768 Å, 90.00 90.00 90.00°
Space group P4/mmm (No. 123)
Inequivalent atoms, fractional coordinates:
1 Y 0.0000 0.0000 0.0000
2 Mg 0.5000 0.5000 0.5000
3 Mn 0.0000 0.0000 0.5000
4 Se 0.0000 0.5000 0.0000



Density functional theory data (PBE) for an optimized crystal structure of Mg6MnSi.

Values from the calculation:
* calculated density: 2415 kg/m3
* energy relative to the lowest polymorph listed for this composition: 0.0 meV/atom
* energy relative to the elements, uncorrected: 0.11 eV per atom

Cell: 4.7848 6.1889 10.6268 Å, 90.00 90.00 90.00°
Space group Amm2 (No. 38)
Inequivalent atoms, fractional coordinates:
1 Mg 0.0000 0.0000 0.0000
2 Mg 0.0000 0.2421 0.2555
3 Mg 0.5000 0.0000 0.8337
4 Mg 0.5000 0.2450 0.5816
5 Mn 0.5000 0.0000 0.3454
6 Si 0.0000 0.0000 0.4879



Density functional theory data (PBE) for an optimized crystal structure of Mg6MnSi.

Values from the calculation:
* calculated density: 2409 kg/m3
* energy relative to the lowest polymorph listed for this composition: 4.2 meV/atom
* energy relative to the elements, uncorrected: 0.11 eV per atom

Cell: 4.8755 6.0408 10.7121 Å, 90.00 90.00 90.00°
Space group Amm2 (No. 38)
Inequivalent atoms, fractional coordinates:
1 Mg 0.0000 0.0000 0.0001
2 Mg 0.0000 0.0000 0.5000
3 Mg 0.0000 0.2468 0.2569
4 Mg 0.5000 0.2494 0.5910
5 Mn 0.5000 0.0000 0.3424
6 Si 0.5000 0.0000 0.8427



Density functional theory data (PBE) for an optimized crystal structure of Mg3MnSi.

Values from the calculation:
* calculated density: 2074 kg/m3
* energy relative to the lowest polymorph listed for this composition: 353.1 meV/atom
* energy relative to the elements, uncorrected: 0.91 eV per atom

Cell: 4.9977 4.9977 4.9977 Å, 90.00 90.00 90.00°
Space group Pm-3m (No. 221)
Inequivalent atoms, fractional coordinates:
1 Mg 0.0000 0.0000 0.5000
2 Mn 0.0000 0.0000 0.0000
3 Si 0.5000 0.5000 0.5000



Density functional theory data (PBE) for an optimized crystal structure of Mg2MnSi2.

Values from the calculation:
* calculated density: 3193 kg/m3
* energy relative to the elements, uncorrected: -0.10 eV per atom

Cell: 6.2954 6.2954 4.1913 Å, 90.00 90.00 90.00°
Space group P4/mbm (No. 127)
Inequivalent atoms, fractional coordinates:
1 Mg 0.1771 0.3229 0.0000
2 Mn 0.0000 0.0000 0.5000
3 Si 0.1356 0.6356 0.5000



> What is the energy relative to the elements, uncorrected in the third record?

0.13 eV per atom



> Which value of energy relative to the elements, uncorrected does entry 2 give?

-0.64 eV per atom



> Which of these has the lowest energy relative to the elements, uncorrected?

MgMnTlSe3



> Among the records above, which one has the lowest calculated density?

Mg3MnSi